# 1
# ZrScCd2 PBEsol relaxed
# distance to the lowest polymorph of the same formula: 146.4 meV per atom
# energy of formation: -0.068 eV/atom
# N(E_F): 11.16 states/eV/cell
# VASP energy: -4.5903 eV per atom
# total magnetic moment: 0.001 μB per formula unit
data_ZrScCd2
_chemical_formula_sum 'Zr3 Sc3 Cd6'
_cell_length_a 3.1627
_cell_length_b 3.1627
_cell_length_c 30.0043
_cell_angle_alpha 90.00
_cell_angle_beta 90.00
_cell_angle_gamma 120.00
_symmetry_space_group_name_H-M 'R 3 m'
_symmetry_Int_Tables_number 160
_symmetry_space_group_name_Hall 'R 3 -2"'
loop_
_atom_site_label
_atom_site_fract_x
_atom_site_fract_y
_atom_site_fract_z
Zr1 0.0000 0.0000 0.0000
Sc1 0.0000 0.0000 0.7494
Cd1 0.0000 0.0000 0.2483
Cd2 0.0000 0.0000 0.4998


# 2
# ZnCd2Ag PBEsol relaxed
# energy of formation: 0.029 eV/atom
# N(E_F): 2.59 states/eV/cell
# VASP energy: -1.7927 eV per atom
# total magnetic moment: 0.000 μB per formula unit
data_ZnCd2Ag
_chemical_formula_sum 'Zn2 Cd4 Ag2'
_cell_length_a 9.600
_cell_length_b 3.005
_cell_length_c 4.996
_cell_angle_alpha 90.00
_cell_angle_beta 99.89
_cell_angle_gamma 90.00
_symmetry_space_group_name_H-M 'C 1 2/m 1'
_symmetry_Int_Tables_number 12
loop_
_symmetry_equiv_pos_as_xyz
'x,y,z'
'-x,-y,-z'
'-x,y,-z'
'x,-y,z'
'x+1/2,y+1/2,z'
'-x+1/2,-y+1/2,-z'
'-x+1/2,y+1/2,-z'
'x+1/2,-y+1/2,z'
loop_
_atom_site_label
_atom_site_fract_x
_atom_site_fract_y
_atom_site_fract_z
Zn1 0.000 0.000 0.000
Cd1 0.249 0.500 0.248
Ag1 0.000 0.500 0.500


# 3
# InIrBr2 PBEsol relaxed
# N(E_F): 3.13 states/eV/cell
# VASP energy: -4.1259 eV per atom
# total magnetic moment: 0.000 μB per formula unit
data_InIrBr2
_chemical_formula_sum 'In2 Ir2 Br4'
_cell_length_a 10.046
_cell_length_b 3.565
_cell_length_c 6.472
_cell_angle_alpha 90.00
_cell_angle_beta 116.79
_cell_angle_gamma 90.00
_symmetry_space_group_name_H-M 'C 1 m 1'
_symmetry_Int_Tables_number 8
loop_
_symmetry_equiv_pos_as_xyz
'x,y,z'
'x,-y,z'
'x+1/2,y+1/2,z'
'x+1/2,-y+1/2,z'
loop_
_atom_site_label
_atom_site_fract_x
_atom_site_fract_y
_atom_site_fract_z
In1 0.000 0.000 0.000
Ir1 0.226 0.500 0.996
Br1 0.159 0.000 0.693
Br2 0.340 0.000 0.298


# 4
# KAl3W PBEsol relaxed
# distance to the lowest polymorph of the same formula: 0.0 meV per atom
# energy of formation: 0.453 eV/atom
# N(E_F): 3.28 states/eV/cell
# VASP energy: -4.9898 eV per atom
# total magnetic moment: 0.000 μB per formula unit
data_KAl3W
_chemical_formula_sum 'K1 Al3 W1'
_cell_length_a 4.976
_cell_length_b 4.976
_cell_length_c 4.976
_cell_angle_alpha 90.00
_cell_angle_beta 90.00
_cell_angle_gamma 90.00
_symmetry_space_group_name_H-M 'P m -3 m'
_symmetry_Int_Tables_number 221
_symmetry_space_group_name_Hall '-P 4 2 3'
loop_
_atom_site_label
_atom_site_fract_x
_atom_site_fract_y
_atom_site_fract_z
K1 0.000 0.000 0.000
Al1 0.000 0.500 0.500
W1 0.500 0.500 0.500


# 5
# Tb3CuGeSe7 PBEsol relaxed
# VASP energy: -5.5712 eV per atom
# total magnetic moment: 0.000 μB per formula unit
data_Tb3CuGeSe7
_chemical_formula_sum 'Tb6 Cu2 Ge2 Se14'
_cell_length_a 10.2221
_cell_length_b 10.2221
_cell_length_c 5.9582
_cell_angle_alpha 90.00
_cell_angle_beta 90.00
_cell_angle_gamma 120.00
_symmetry_space_group_name_H-M 'P 63'
_symmetry_Int_Tables_number 173
loop_
_symmetry_equiv_pos_as_xyz
'x,y,z'
'x-y,x,z+1/2'
'-y,x-y,z'
'-x,-y,z+1/2'
'-x+y,-x,z'
'y,-x+y,z+1/2'
loop_
_atom_site_label
_atom_site_fract_x
_atom_site_fract_y
_atom_site_fract_z
Tb1 0.1328 0.3554 0.0000
Cu1 0.0000 0.0000 0.4618
Ge1 0.3333 0.6667 0.5828
Se1 0.0913 0.5757 0.7495
Se2 0.0998 0.2622 0.4769
Se3 0.3333 0.6667 0.1917


# 6
# ScMoW2 PBEsol relaxed
# distance to the lowest polymorph of the same formula: 13.8 meV per atom
# energy of formation: 0.155 eV/atom
# N(E_F): 7.28 states/eV/cell
# VASP energy: -11.3416 eV per atom
# total magnetic moment: 0.000 μB per formula unit
data_ScMoW2
_chemical_formula_sum 'Sc2 Mo2 W4'
_cell_length_a 3.199
_cell_length_b 4.489
_cell_length_c 9.157
_cell_angle_alpha 90.00
_cell_angle_beta 90.00
_cell_angle_gamma 90.00
_symmetry_space_group_name_H-M 'C m m m'
_symmetry_Int_Tables_number 65
_symmetry_space_group_name_Hall '-C 2 2'
loop_
_atom_site_label
_atom_site_fract_x
_atom_site_fract_y
_atom_site_fract_z
Sc1 0.000 0.000 0.000
Mo1 0.000 0.000 0.500
W1 0.000 0.500 0.264


# 7
# BaSr3Al PBEsol relaxed
# energy of formation: 1.001 eV/atom
# N(E_F): 5.87 states/eV/cell
# VASP energy: -1.3517 eV per atom
# total magnetic moment: 0.002 μB per formula unit
data_BaSr3Al
_chemical_formula_sum 'Ba1 Sr3 Al1'
_cell_length_a 6.061
_cell_length_b 6.061
_cell_length_c 6.061
_cell_angle_alpha 90.00
_cell_angle_beta 90.00
_cell_angle_gamma 90.00
_symmetry_space_group_name_H-M 'P m -3 m'
_symmetry_Int_Tables_number 221
_symmetry_space_group_name_Hall '-P 4 2 3'
loop_
_atom_site_label
_atom_site_fract_x
_atom_site_fract_y
_atom_site_fract_z
Ba1 0.000 0.000 0.000
Sr1 0.000 0.000 0.500
Al1 0.500 0.500 0.500


# 8
# Li2CrSi PBEsol relaxed
# N(E_F): 2.45 states/eV/cell
# VASP energy: -4.9219 eV per atom
# total magnetic moment: 0.000 μB per formula unit
data_Li2CrSi
_chemical_formula_sum 'Li4 Cr2 Si2'
_cell_length_a 3.256
_cell_length_b 3.871
_cell_length_c 8.503
_cell_angle_alpha 90.00
_cell_angle_beta 90.00
_cell_angle_gamma 90.00
_symmetry_space_group_name_H-M 'C m m 2'
_symmetry_Int_Tables_number 35
loop_
_symmetry_equiv_pos_as_xyz
'x,y,z'
'-x,-y,z'
'-x,y,z'
'x,-y,z'
'x+1/2,y+1/2,z'
'-x+1/2,-y+1/2,z'
'-x+1/2,y+1/2,z'
'x+1/2,-y+1/2,z'
loop_
_atom_site_label
_atom_site_fract_x
_atom_site_fract_y
_atom_site_fract_z
Li1 0.000 0.000 0.000
Li2 0.000 0.500 0.305
Cr1 0.000 0.500 0.749
Si1 0.000 0.000 0.542


# 9
# KCoSb4 PBEsol relaxed
# N(E_F): 21.87 states/eV/cell
# VASP energy: -3.9815 eV per atom
# total magnetic moment: 2.345 μB per formula unit
data_KCoSb4
_chemical_formula_sum 'K4 Co4 Sb16'
_cell_length_a 8.763
_cell_length_b 8.763
_cell_length_c 8.763
_cell_angle_alpha 90.00
_cell_angle_beta 90.00
_cell_angle_gamma 90.00
_symmetry_space_group_name_H-M 'F -4 3 m'
_symmetry_Int_Tables_number 216
_symmetry_space_group_name_Hall 'F -4 2 3'
loop_
_atom_site_label
_atom_site_fract_x
_atom_site_fract_y
_atom_site_fract_z
K1 0.000 0.000 0.000
Co1 0.250 0.250 0.750
Sb1 0.124 0.124 0.376


# 10
# HfZnRe3 PBEsol relaxed
# energy of formation: 1.548 eV/atom
# N(E_F): 7.37 states/eV/cell
# VASP energy: -8.8681 eV per atom
# total magnetic moment: 0.001 μB per formula unit
data_HfZnRe3
_chemical_formula_sum 'Hf1 Zn1 Re3'
_cell_length_a 4.452
_cell_length_b 4.452
_cell_length_c 4.452
_cell_angle_alpha 90.00
_cell_angle_beta 90.00
_cell_angle_gamma 90.00
_symmetry_space_group_name_H-M 'P m -3 m'
_symmetry_Int_Tables_number 221
_symmetry_space_group_name_Hall '-P 4 2 3'
loop_
_atom_site_label
_atom_site_fract_x
_atom_site_fract_y
_atom_site_fract_z
Hf1 0.000 0.000 0.000
Zn1 0.500 0.500 0.500
Re1 0.000 0.500 0.500


# 11
# Sc5Zn PBEsol relaxed
# distance to the lowest polymorph of the same formula: 56.6 meV per atom
# energy of formation: -0.036 eV/atom
# N(E_F): 19.25 states/eV/cell
# VASP energy: -5.8035 eV per atom
# total magnetic moment: 0.004 μB per formula unit
data_Sc5Zn
_chemical_formula_sum 'Sc10 Zn2'
_cell_length_a 4.919
_cell_length_b 3.280
_cell_length_c 16.048
_cell_angle_alpha 90.00
_cell_angle_beta 90.00
_cell_angle_gamma 90.00
_symmetry_space_group_name_H-M 'A m m 2'
_symmetry_Int_Tables_number 38
loop_
_symmetry_equiv_pos_as_xyz
'x,y,z'
'-x,-y,z'
'-x,y,z'
'x,-y,z'
'x,y+1/2,z+1/2'
'-x,-y+1/2,z+1/2'
'-x,y+1/2,z+1/2'
'x,-y+1/2,z+1/2'
loop_
_atom_site_label
_atom_site_fract_x
_atom_site_fract_y
_atom_site_fract_z
Sc1 0.000 0.000 0.000
Sc2 0.000 0.000 0.324
Sc3 0.000 0.000 0.668
Sc4 0.500 0.000 0.122
Sc5 0.500 0.000 0.445
Zn1 0.500 0.000 0.778


# 12
# ErCdRh2 PBEsol relaxed
# energy of formation: -0.572 eV/atom
# N(E_F): 10.37 states/eV/cell
# VASP energy: -6.1720 eV per atom
# total magnetic moment: 0.000 μB per formula unit
data_ErCdRh2
_chemical_formula_sum 'Er4 Cd4 Rh8'
_cell_length_a 6.480
_cell_length_b 6.480
_cell_length_c 6.480
_cell_angle_alpha 90.00
_cell_angle_beta 90.00
_cell_angle_gamma 90.00
_symmetry_space_group_name_H-M 'F m -3 m'
_symmetry_Int_Tables_number 225
_symmetry_space_group_name_Hall '-F 4 2 3'
loop_
_atom_site_label
_atom_site_fract_x
_atom_site_fract_y
_atom_site_fract_z
Er1 0.000 0.000 0.000
Cd1 0.000 0.000 0.500
Rh1 0.250 0.250 0.250